# 1
Material: Pa4InSe7
Method: DFT, GGA-PBE
State: relaxed

Cell and atoms, written as extended XYZ:
```
12
Lattice="4.090 0.000 0.000 -2.045 3.542 0.000 0.000 0.000 25.064" Properties=species:S:1:pos:R:3 pbc="T T T"
Pa 0.000 2.361 4.047
Pa 0.000 2.361 10.915
Pa 2.045 1.181 14.149
Pa 2.045 1.181 21.017
In 0.000 0.000 0.000
Se 0.000 0.000 5.628
Se 0.000 0.000 12.532
Se 0.000 0.000 19.436
Se 0.000 2.361 15.759
Se 0.000 2.361 22.751
Se 2.045 1.181 2.313
Se 2.045 1.181 9.306
```

## Properties
SG: No. 164
Density, Mg/m³: 7.3
Total magnetic moment, μB/cell: 3.02
Uncorrected formation energy, eV per atom: -1.1762

# 2
Material: Ce2SnTe
Method: DFT, GGA-PBE
State: relaxed

Cell and atoms, written as extended XYZ:
```
8
Lattice="-3.181 3.181 6.376 3.181 -3.181 6.376 3.181 3.181 -6.376" Properties=species:S:1:pos:R:3 pbc="T T T"
Ce 3.181 1.591 -1.601
Ce 0.000 1.591 1.587
Ce 3.181 1.591 4.789
Ce 0.000 1.591 7.977
Sn 3.181 -1.591 4.782
Sn 0.000 4.772 1.594
Te 3.181 1.591 1.594
Te 0.000 1.591 4.782
```

## Properties
SG: No. 141
Density, Mg/m³: 6.8
Total magnetic moment, μB/cell: 3.53
Uncorrected formation energy, eV per atom: -0.9772
Energy above the lowest structure with this stoichiometry, meV/atom: 0.0